RbNiBr: optimized geometry, PBE.

a b c (Å): 3.8515 3.8576 11.5351
angles (deg): 98.51 98.48 96.22
Last column: nearest neighbours and their distance in Å.
Positions (direct):
Rb1 0.0000 0.0000 0.0000  8 Br 3.35-3.61
Rb2 0.1918 0.1933 0.3882  2 Ni 3.34-3.35, 4 Br 3.40-3.63
Ni1 0.0236 0.6231 0.6430  1 Ni 2.30, 1 Br 2.51
Ni2 0.6221 0.0217 0.6429  1 Ni 2.30, 1 Br 2.51
Br1 0.4036 0.4031 0.8052  2 Ni 2.51
Br2 0.5942 0.5954 0.1912  8 Rb 3.35-3.63

Properties
Formation energy from raw total energies in eV/f.u.: -1.2
ρ in g/cm³: 4.48
Raw total energy in eV/f.u.: -9.610
Magnetization in μB/f.u.: 0.79
Symmetry: P1 (1)
Relative energy among the computed polymorphs in eV per atom: 0.0322

=====

RbNi3Br: optimized geometry, PBE.

a b c (Å): 4.6211 4.6211 4.6211
angles (deg): 90.00 90.00 90.00
Last column: nearest neighbours and their distance in Å.
Positions (direct):
Rb1 0.0000 0.0000 0.0000  12 Ni 3.27
Ni1 0.0000 0.5000 0.5000  2 Br 2.31
Ni2 0.5000 0.0000 0.5000  2 Br 2.31
Ni3 0.5000 0.5000 0.0000  2 Br 2.31
Br1 0.5000 0.5000 0.5000  6 Ni 2.31

Properties
Formation energy from raw total energies in eV/f.u.: 4.1
ρ in g/cm³: 5.75
Raw total energy in eV/f.u.: -15.861
Magnetization in μB/f.u.: 0.00
Symmetry: Pm-3m (221)
Relative energy among the computed polymorphs in eV per atom: 0.0000

=====

formation energy from raw total energies of number 1 (RbNiBr)? -1.2 eV/f.u.